A geometry-optimized V2FeBiO8 structure, computed with GGA+U.

Cell lengths 5.5998, 5.5998, 6.2311 Å; angles 90.00, 90.00, 120.00 degrees
Fractional coordinates of all 12 atoms:
V 0.3333 0.6667 0.2695
V 0.6667 0.3333 0.7305
Fe 0.0000 0.0000 0.0000
Bi 0.0000 0.0000 0.5000
O 0.1562 0.3125 0.1958
O 0.1562 0.8438 0.1958
O 0.3125 0.1562 0.8042
O 0.3333 0.6667 0.5359
O 0.6667 0.3333 0.4641
O 0.6875 0.8438 0.1958
O 0.8438 0.1562 0.8042
O 0.8438 0.6875 0.8042

SG	P-3m1
total DFT energy (no corrections)	-80.75	eV per formula unit
DOS at the Fermi energy	3.42	states/eV/cell